1.
# Sm2ReC2

A relaxed Sm2ReC2 crystal (PBE, the Alexandria database).

Lattice parameters (Å, degrees): 11.398 5.291 6.774 90.00 119.32 90.00
Space group C2/m (No. 12)
One atom of each set of equivalent atoms:
Sm: 0.034 0.000 0.282 x4
Sm: 0.180 0.500 0.128 x4
Re: 0.137 0.500 0.630 x4
C: 0.006 0.500 0.281 x4
C: 0.182 0.000 0.114 x4

Output
Formation energy ... -0.246 eV/atom

2.
# Sm2ReC2

A relaxed Sm2ReC2 crystal (PBE, the Alexandria database).

Lattice parameters (Å, degrees): 6.674 5.277 10.087 90.00 90.00 90.00
Space group Pnma (No. 62)
One atom of each set of equivalent atoms:
Sm: 0.028 0.250 0.214 x4
Sm: 0.185 0.250 0.552 x4
Re: 0.227 0.250 0.861 x4
C: 0.038 0.750 0.241 x4
C: 0.184 0.750 0.542 x4

Output
Formation energy ... -0.324 eV/atom

3.
# Sm2ReC3

A relaxed Sm2ReC3 crystal (PBE, the Alexandria database).

Lattice parameters (Å, degrees): 5.764 11.077 12.477 90.00 90.00 90.00
Space group Cmce (No. 64)
One atom of each set of equivalent atoms:
Sm: 0.000 0.049 0.142 x8
Sm: 0.000 0.143 0.583 x8
Re: 0.000 0.245 0.343 x8
C: 0.000 0.076 0.372 x8
C: 0.000 0.152 0.969 x8
C: 0.250 0.209 0.750 x8

Output
Formation energy ... -0.134 eV/atom

4.
# Sm2ReC3

A relaxed Sm2ReC3 crystal (PBE, the Alexandria database).

Lattice parameters (Å, degrees): 3.613 3.983 12.971 90.00 90.00 90.00
Space group Immm (No. 71)
One atom of each set of equivalent atoms:
Sm: 0.000 0.000 0.148 x4
Re: 0.000 0.000 0.500 x2
C: 0.000 0.000 0.343 x4
C: 0.000 0.500 0.500 x2

Output
Formation energy ... 0.069 eV/atom

5.
# SmRe2C2

A relaxed SmRe2C2 crystal (PBE, the Alexandria database).

Lattice parameters (Å, degrees): 6.822 8.926 5.660 90.00 123.40 90.00
Space group C2/c (No. 15)
One atom of each set of equivalent atoms:
Sm: 0.000 0.126 0.250 x4
Re: 0.150 0.381 0.032 x8
C: 0.000 0.188 0.750 x4
C: 0.000 0.430 0.250 x4

Output
Formation energy ... -0.004 eV/atom

6.
# Re3SnC

A relaxed Re3SnC crystal (PBE, the Alexandria database).

Lattice parameters (Å, degrees): 4.848 4.848 4.848 90.00 90.00 90.00
Space group Pm-3m (No. 221)
One atom of each set of equivalent atoms:
Re: 0.000 0.000 0.500 x3
Sn: 0.000 0.000 0.000 x1
C: 0.500 0.500 0.500 x1

Output
Formation energy ... 4.252 eV/atom

7.
# Re3SnC

A relaxed Re3SnC crystal (PBE, the Alexandria database).

Lattice parameters (Å, degrees): 4.165 4.165 4.165 90.00 90.00 90.00
Space group Pm-3m (No. 221)
One atom of each set of equivalent atoms:
Re: 0.000 0.000 0.500 x3
Sn: 0.500 0.500 0.500 x1
C: 0.000 0.000 0.000 x1

Output
Formation energy ... 0.511 eV/atom

8.
# Re2SnC

A relaxed Re2SnC crystal (PBE, the Alexandria database).

Lattice parameters (Å, degrees): 6.132 6.132 6.132 90.00 90.00 90.00
Space group Fm-3m (No. 225)
One atom of each set of equivalent atoms:
Re: 0.250 0.250 0.250 x8
Sn: 0.000 0.000 0.000 x4
C: 0.000 0.000 0.500 x4

Output
Formation energy ... 1.688 eV/atom

9.
# ReSn2C

A relaxed ReSn2C crystal (PBE, the Alexandria database).

Lattice parameters (Å, degrees): 6.683 6.683 6.218 90.00 90.00 90.00
Space group I-42d (No. 122)
One atom of each set of equivalent atoms:
Re: 0.000 0.000 0.000 x4
Sn: 0.185 0.750 0.625 x8
C: 0.000 0.000 0.500 x4

Output
Formation energy ... 1.375 eV/atom

10.
# Re2SnC

A relaxed Re2SnC crystal (PBE, the Alexandria database).

Lattice parameters (Å, degrees): 4.859 4.859 12.463 90.00 90.00 90.00
Space group I-42d (No. 122)
One atom of each set of equivalent atoms:
Re: 0.092 0.250 0.125 x8
Sn: 0.000 0.000 0.500 x4
C: 0.000 0.000 0.000 x4

Output
Formation energy ... 0.997 eV/atom

11.
# ReTc2SnC

A relaxed ReTc2SnC crystal (PBE, the Alexandria database).

Lattice parameters (Å, degrees): 4.164 4.164 4.139 90.00 90.00 90.00
Space group P4/mmm (No. 123)
One atom of each set of equivalent atoms:
Re: 0.000 0.000 0.000 x1
Tc: 0.000 0.500 0.500 x2
Sn: 0.500 0.500 0.000 x1
C: 0.000 0.000 0.500 x1

Output
Formation energy ... 0.244 eV/atom

12.
# TiRe2SnC

A relaxed TiRe2SnC crystal (PBE, the Alexandria database).

Lattice parameters (Å, degrees): 4.772 4.772 3.853 90.00 90.00 90.00
Space group P4/mmm (No. 123)
One atom of each set of equivalent atoms:
Ti: 0.000 0.000 0.000 x1
Re: 0.000 0.500 0.000 x2
Sn: 0.500 0.500 0.500 x1
C: 0.000 0.000 0.500 x1

Output
Formation energy ... 1.764 eV/atom

13.
# Zr2ReSnC

A relaxed Zr2ReSnC crystal (PBE, the Alexandria database).

Lattice parameters (Å, degrees): 4.653 4.653 4.047 90.00 90.00 90.00
Space group P4/mmm (No. 123)
One atom of each set of equivalent atoms:
Zr: 0.000 0.500 0.000 x2
Re: 0.000 0.000 0.500 x1
Sn: 0.500 0.500 0.500 x1
C: 0.000 0.000 0.000 x1

Output
Formation energy ... -0.297 eV/atom

14.
# SrRe4C2

A relaxed SrRe4C2 crystal (PBE, the Alexandria database).

Lattice parameters (Å, degrees): 4.757 4.757 10.881 90.00 90.00 90.00
Space group I4/mmm (No. 139)
One atom of each set of equivalent atoms:
Sr: 0.000 0.000 0.000 x2
Re: 0.000 0.000 0.270 x4
Re: 0.000 0.500 0.000 x4
C: 0.000 0.000 0.438 x4

Output
Formation energy ... 3.000 eV/atom

15.
# Sr3ReC

A relaxed Sr3ReC crystal (PBE, the Alexandria database).

Lattice parameters (Å, degrees): 5.330 5.330 5.330 90.00 90.00 90.00
Space group Pm-3m (No. 221)
One atom of each set of equivalent atoms:
Sr: 0.000 0.000 0.500 x3
Re: 0.500 0.500 0.500 x1
C: 0.000 0.000 0.000 x1

Output
Formation energy ... 1.206 eV/atom

16.
# SrRe3C

A relaxed SrRe3C crystal (PBE, the Alexandria database).

Lattice parameters (Å, degrees): 4.771 4.771 4.771 90.00 90.00 90.00
Space group Pm-3m (No. 221)
One atom of each set of equivalent atoms:
Sr: 0.000 0.000 0.000 x1
Re: 0.000 0.000 0.500 x3
C: 0.500 0.500 0.500 x1

Output
Formation energy ... 5.153 eV/atom

17.
# SrRe3C

A relaxed SrRe3C crystal (PBE, the Alexandria database).

Lattice parameters (Å, degrees): 4.293 4.293 4.293 90.00 90.00 90.00
Space group Pm-3m (No. 221)
One atom of each set of equivalent atoms:
Sr: 0.000 0.000 0.000 x1
Re: 0.000 0.500 0.500 x3
C: 0.500 0.500 0.500 x1

Output
Formation energy ... 0.899 eV/atom

18.
# Sr2ReTeC

A relaxed Sr2ReTeC crystal (PBE, the Alexandria database).

Lattice parameters (Å, degrees): 5.585 5.585 4.020 90.00 90.00 90.00
Space group P4/mmm (No. 123)
One atom of each set of equivalent atoms:
Sr: 0.000 0.500 0.000 x2
Re: 0.000 0.000 0.500 x1
Te: 0.500 0.500 0.500 x1
C: 0.000 0.000 0.000 x1

Output
Formation energy (no corrections) ... -0.55 eV/f.u.

19.
# Ta3ReC

A relaxed Ta3ReC crystal (PBE, the Alexandria database).

Lattice parameters (Å, degrees): 4.269 4.269 4.269 90.00 90.00 90.00
Space group Pm-3m (No. 221)
One atom of each set of equivalent atoms:
Ta: 0.000 0.000 0.500 x3
Re: 0.500 0.500 0.500 x1
C: 0.000 0.000 0.000 x1

Output
Formation energy ... -0.066 eV/atom

20.
# TaReC

A relaxed TaReC crystal (PBE, the Alexandria database).

Lattice parameters (Å, degrees): 10.347 3.062 4.941 90.00 103.50 90.00
Space group C2/m (No. 12)
One atom of each set of equivalent atoms:
Ta: 0.127 0.000 0.339 x4
Re: 0.106 0.500 0.833 x4
C: 0.243 0.000 0.772 x4

Output
Formation energy ... -0.186 eV/atom